The following is a DFT calculation (PBE) of a relaxed structure of Pm5MgGe3.

```
Pm5MgGe3
1.0
9.172 0.000 0.000
-4.586 7.943 0.000
0.000 0.000 6.379
Pm Mg Ge
10 2 6
Direct
0.000 0.301 0.250
0.000 0.699 0.750
0.301 0.000 0.250
0.301 0.301 0.750
0.333 0.667 0.000
0.333 0.667 0.500
0.667 0.333 0.000
0.667 0.333 0.500
0.699 0.000 0.750
0.699 0.699 0.250
0.000 0.000 0.000
0.000 0.000 0.500
0.000 0.359 0.750
0.000 0.641 0.250
0.359 0.000 0.750
0.359 0.359 0.250
0.641 0.000 0.250
0.641 0.641 0.750
```

Its space-group type is P6_3/mcm. The value obtained for the uncorrected energy is -88.81 eV per cell.



The following is a DFT calculation (PBE) of a relaxed structure of Ac6PPt2I3.

```
Ac6PPt2I3
1.0
3.919 -6.783 0.000
3.919 6.783 0.000
-2.605 0.000 8.381
Ac P Pt I
6 1 2 3
Direct
0.095 0.436 0.811
0.222 0.222 0.189
0.436 0.095 0.811
0.564 0.905 0.189
0.778 0.778 0.811
0.905 0.564 0.189
0.500 0.500 0.000
0.167 0.833 0.000
0.833 0.167 0.000
0.000 0.000 0.500
0.337 0.663 0.500
0.663 0.337 0.500
```

The formation energy from raw total energies comes out at -14.40 eV/f.u. Its space-group type is C2/m.



| no. | magnetic moment (μB/f.u.) |
| --- | --- |
| 1 | 0.00 |
| 2 | 0.00 |